Here is ThUS4 after structural relaxation from the Alexandria database. Energies are from GGA-PBE.

The final energy comes out at -7.5510 eV/atom. Its uncorrected formation energy is -10.088 eV/f.u. The total moment is 2.00 μB per cell.

The space group is P4/mmm (No. 123) and the conventional cell measures 4.6538, 4.6538 and 6.5884 Å, with angles of 90.00, 90.00 and 90.00 degrees. The asymmetric unit holds Th at (0.0000, 0.0000, 0.0000), U at (0.5000, 0.5000, 0.5000) and S at (0.0000, 0.5000, 0.2561).